Record 1
Density functional theory data (PBE-GGA) for PmTcNO after structural relaxation.

Computed properties:
The calculated total energy comes out at -8.51 eV/atom.

Lattice parameters (Å, degrees): 3.795 3.795 8.005 90.00 90.00 90.00
Atoms (fractional coordinates):
Pm 0.250 0.250 0.155
Pm 0.750 0.750 0.845
Tc 0.250 0.750 0.500
Tc 0.750 0.250 0.500
N 0.250 0.250 0.621
N 0.750 0.750 0.379
O 0.250 0.750 0.000
O 0.750 0.250 0.000



Record 2
Density functional theory data (PBE-GGA) for AlNiBi2 after structural relaxation.

Computed properties:
The calculated total energy comes out at -3.87 eV/atom.

Lattice parameters (Å, degrees): 7.210 7.210 7.210 90.00 90.00 90.00
Atoms (fractional coordinates):
Al 0.000 0.000 0.000
Al 0.000 0.500 0.500
Al 0.500 0.000 0.500
Al 0.500 0.500 0.000
Ni 0.250 0.250 0.750
Ni 0.250 0.750 0.250
Ni 0.750 0.250 0.250
Ni 0.750 0.750 0.750
Bi 0.000 0.000 0.500
Bi 0.000 0.500 0.000
Bi 0.250 0.250 0.250
Bi 0.250 0.750 0.750
Bi 0.500 0.000 0.000
Bi 0.500 0.500 0.500
Bi 0.750 0.250 0.750
Bi 0.750 0.750 0.250



Record 3
Density functional theory data (PBE-GGA) for Tl2AgBiF6 after structural relaxation.

Computed properties:
The calculated total energy comes out at -4.08 eV/atom.

Lattice parameters (Å, degrees): 6.348 6.348 6.348 60.00 60.00 60.00
Atoms (fractional coordinates):
Tl 0.250 0.250 0.250
Tl 0.750 0.750 0.750
Ag 0.000 0.000 0.000
Bi 0.500 0.500 0.500
F 0.254 0.254 0.746
F 0.254 0.746 0.254
F 0.254 0.746 0.746
F 0.746 0.254 0.254
F 0.746 0.254 0.746
F 0.746 0.746 0.254



Record 4
Density functional theory data (PBE-GGA) for ErScMo2C3 after structural relaxation.

Computed properties:
The calculated total energy comes out at -8.96 eV/atom.

Lattice parameters (Å, degrees): 11.216 3.315 5.557 90.00 109.79 90.00
Atoms (fractional coordinates):
Er 0.000 0.000 0.000
Er 0.500 0.500 0.000
Sc 0.235 0.000 0.632
Sc 0.735 0.500 0.632
Mo 0.262 0.500 0.182
Mo 0.469 0.000 0.455
Mo 0.762 0.000 0.182
Mo 0.969 0.500 0.455
C 0.118 0.500 0.330
C 0.343 0.000 0.064
C 0.381 0.500 0.563
C 0.618 0.000 0.330
C 0.843 0.500 0.064
C 0.881 0.000 0.563



Record 5
Density functional theory data (PBE-GGA) for HgPbO3 after structural relaxation.

Computed properties:
The calculated total energy comes out at -4.28 eV/atom.

Lattice parameters (Å, degrees): 5.721 9.439 5.481 90.00 90.00 90.00
Atoms (fractional coordinates):
Hg 0.000 0.000 0.000
Hg 0.000 0.500 0.000
Hg 0.500 0.000 0.500
Hg 0.500 0.500 0.500
Pb 0.055 0.250 0.465
Pb 0.445 0.750 0.965
Pb 0.555 0.250 0.035
Pb 0.945 0.750 0.535
O 0.117 0.750 0.176
O 0.203 0.603 0.710
O 0.203 0.897 0.710
O 0.297 0.103 0.210
O 0.297 0.397 0.210
O 0.383 0.250 0.676
O 0.617 0.750 0.324
O 0.703 0.603 0.790
O 0.703 0.897 0.790
O 0.797 0.103 0.290
O 0.797 0.397 0.290
O 0.883 0.250 0.824



Record 6
Density functional theory data (PBE-GGA) for LaPaPd after structural relaxation.

Computed properties:
The energy relative to the elements is 8 kJ per mole of atoms.

Lattice parameters (Å, degrees): 6.952 6.952 6.952 90.00 90.00 90.00
Atoms (fractional coordinates):
La 0.000 0.000 0.000
La 0.000 0.500 0.500
La 0.500 0.000 0.500
La 0.500 0.500 0.000
Pa 0.000 0.000 0.500
Pa 0.000 0.500 0.000
Pa 0.500 0.000 0.000
Pa 0.500 0.500 0.500
Pd 0.250 0.250 0.250
Pd 0.250 0.750 0.750
Pd 0.750 0.250 0.750
Pd 0.750 0.750 0.250



Record 7
Density functional theory data (PBE-GGA) for PmInNO after structural relaxation.

Computed properties:
The calculated total energy comes out at -6.40 eV/atom.

Lattice parameters (Å, degrees): 3.945 6.391 5.873 90.00 90.00 90.00
Atoms (fractional coordinates):
Pm 0.000 0.190 0.000
Pm 0.000 0.810 0.500
In 0.500 0.318 0.509
In 0.500 0.682 0.009
N 0.500 0.357 0.890
N 0.500 0.643 0.390
O 0.000 0.157 0.392
O 0.000 0.843 0.892



Record 8
Density functional theory data (PBE-GGA) for Gd2YMg3Pt3 after structural relaxation.

Computed properties:
The calculated total energy comes out at -5.24 eV/atom.

Lattice parameters (Å, degrees): 4.085 7.395 7.395 120.17 90.00 90.00
Atoms (fractional coordinates):
Gd 0.000 0.205 0.795
Gd 0.000 0.795 0.205
Y 0.000 0.385 0.385
Mg 0.500 0.040 0.040
Mg 0.500 0.550 0.794
Mg 0.500 0.794 0.550
Pt 0.000 0.795 0.795
Pt 0.500 0.128 0.462
Pt 0.500 0.462 0.128



Record 9
Density functional theory data (PBE-GGA) for PbW2N after structural relaxation.

Computed properties:
The calculated total energy comes out at -8.92 eV/atom.

Lattice parameters (Å, degrees): 3.375 3.375 13.068 90.00 90.00 120.00
Atoms (fractional coordinates):
Pb 0.333 0.667 0.250
Pb 0.667 0.333 0.750
W 0.333 0.667 0.571
W 0.333 0.667 0.929
W 0.667 0.333 0.071
W 0.667 0.333 0.429
N 0.000 0.000 0.000
N 0.000 0.000 0.500



Record 10
Density functional theory data (PBE-GGA) for MgCoRePb after structural relaxation.

Computed properties:
The calculated total energy comes out at -5.46 eV/atom.

Lattice parameters (Å, degrees): 6.416 6.416 6.416 90.00 90.00 90.00
Atoms (fractional coordinates):
Mg 0.000 0.000 0.000
Mg 0.000 0.500 0.500
Mg 0.500 0.000 0.500
Mg 0.500 0.500 0.000
Co 0.250 0.250 0.750
Co 0.250 0.750 0.250
Co 0.750 0.250 0.250
Co 0.750 0.750 0.750
Re 0.250 0.250 0.250
Re 0.250 0.750 0.750
Re 0.750 0.250 0.750
Re 0.750 0.750 0.250
Pb 0.000 0.000 0.500
Pb 0.000 0.500 0.000
Pb 0.500 0.000 0.000
Pb 0.500 0.500 0.500



Record 11
Density functional theory data (PBE-GGA) for RbGdCuS3 after structural relaxation.

Computed properties:
The calculated total energy comes out at -4.88 eV/atom.

Lattice parameters (Å, degrees): 7.613 7.613 10.601 90.00 90.00 149.78
Atoms (fractional coordinates):
Rb 0.243 0.757 0.750
Rb 0.757 0.243 0.250
Gd 0.500 0.500 0.000
Gd 0.500 0.500 0.500
Cu 0.034 0.966 0.250
Cu 0.966 0.034 0.750
S 0.120 0.880 0.067
S 0.120 0.880 0.433
S 0.446 0.554 0.250
S 0.554 0.446 0.750
S 0.880 0.120 0.567
S 0.880 0.120 0.933



Record 12
Density functional theory data (PBE-GGA) for TbNdNi2B2N2 after structural relaxation.

Computed properties:
The calculated total energy comes out at -7.33 eV/atom.

Lattice parameters (Å, degrees): 3.570 3.570 7.543 90.00 90.00 90.00
Atoms (fractional coordinates):
Tb 0.000 0.000 0.000
Nd 0.500 0.500 0.339
Ni 0.000 0.500 0.671
Ni 0.500 0.000 0.671
B 0.000 0.000 0.510
B 0.500 0.500 0.824
N 0.000 0.000 0.317
N 0.500 0.500 0.017



Record 13
Density functional theory data (PBE-GGA) for LiUAgSe3 after structural relaxation.

Computed properties:
The calculated total energy comes out at -5.27 eV/atom.

Lattice parameters (Å, degrees): 6.859 6.859 10.766 90.00 90.00 145.40
Atoms (fractional coordinates):
Li 0.229 0.771 0.750
Li 0.771 0.229 0.250
U 0.000 0.000 0.000
U 0.000 0.000 0.500
Ag 0.476 0.524 0.250
Ag 0.524 0.476 0.750
Se 0.102 0.898 0.250
Se 0.356 0.644 0.059
Se 0.356 0.644 0.441
Se 0.644 0.356 0.559
Se 0.644 0.356 0.941
Se 0.898 0.102 0.750



Record 14
Density functional theory data (PBE-GGA) for AlCo2 after structural relaxation.

Computed properties:
The calculated total energy comes out at -6.09 eV/atom.

Lattice parameters (Å, degrees): 8.604 8.604 4.764 90.00 90.00 90.00
Atoms (fractional coordinates):
Al 0.000 0.000 0.000
Al 0.197 0.197 0.250
Al 0.197 0.197 0.750
Al 0.303 0.697 0.250
Al 0.303 0.697 0.750
Al 0.500 0.500 0.500
Al 0.697 0.303 0.250
Al 0.697 0.303 0.750
Al 0.803 0.803 0.250
Al 0.803 0.803 0.750
Co 0.031 0.635 0.500
Co 0.055 0.736 0.000
Co 0.098 0.902 0.500
Co 0.135 0.469 0.000
Co 0.236 0.445 0.500
Co 0.264 0.945 0.000
Co 0.365 0.969 0.500
Co 0.402 0.402 0.000
Co 0.445 0.236 0.500
Co 0.469 0.135 0.000
Co 0.531 0.865 0.000
Co 0.555 0.764 0.500
Co 0.598 0.598 0.000
Co 0.635 0.031 0.500
Co 0.736 0.055 0.000
Co 0.764 0.555 0.500
Co 0.865 0.531 0.000
Co 0.902 0.098 0.500
Co 0.945 0.264 0.000
Co 0.969 0.365 0.500



Record 15
Density functional theory data (PBE-GGA) for HoTaNO after structural relaxation.

Computed properties:
The calculated total energy comes out at -8.92 eV/atom.

Lattice parameters (Å, degrees): 3.243 6.105 6.113 90.00 90.00 90.00
Atoms (fractional coordinates):
Ho 0.000 0.168 0.000
Ho 0.000 0.832 0.500
Ta 0.500 0.335 0.467
Ta 0.500 0.665 0.967
N 0.500 0.398 0.153
N 0.500 0.602 0.653
O 0.000 0.167 0.646
O 0.000 0.833 0.146



Record 16
Density functional theory data (PBE-GGA) for ErMgNb after structural relaxation.

Computed properties:
The calculated total energy comes out at -4.17 eV/atom.

Lattice parameters (Å, degrees): 7.005 7.005 7.005 90.00 90.00 90.00
Atoms (fractional coordinates):
Er 0.000 0.000 0.000
Er 0.000 0.500 0.500
Er 0.500 0.000 0.500
Er 0.500 0.500 0.000
Mg 0.250 0.250 0.750
Mg 0.250 0.750 0.250
Mg 0.750 0.250 0.250
Mg 0.750 0.750 0.750
Nb 0.250 0.250 0.250
Nb 0.250 0.750 0.750
Nb 0.750 0.250 0.750
Nb 0.750 0.750 0.250



Record 17
Density functional theory data (PBE-GGA) for Cu15Sn after structural relaxation.

Computed properties:
The calculated total energy comes out at -3.68 eV/atom.

Lattice parameters (Å, degrees): 5.107 3.586 34.041 90.00 90.01 90.00
Atoms (fractional coordinates):
Cu 0.124 0.250 0.168
Cu 0.125 0.250 0.018
Cu 0.125 0.250 0.093
Cu 0.125 0.250 0.243
Cu 0.125 0.250 0.721
Cu 0.125 0.250 0.795
Cu 0.125 0.250 0.870
Cu 0.125 0.250 0.944
Cu 0.374 0.750 0.832
Cu 0.375 0.750 0.056
Cu 0.375 0.750 0.131
Cu 0.375 0.750 0.206
Cu 0.375 0.750 0.757
Cu 0.375 0.750 0.907
Cu 0.375 0.750 0.982
Cu 0.625 0.250 0.018
Cu 0.625 0.250 0.093
Cu 0.625 0.250 0.243
Cu 0.625 0.250 0.794
Cu 0.625 0.250 0.869
Cu 0.625 0.250 0.944
Cu 0.626 0.250 0.168
Cu 0.875 0.750 0.056
Cu 0.875 0.750 0.130
Cu 0.875 0.750 0.205
Cu 0.875 0.750 0.279
Cu 0.875 0.750 0.757
Cu 0.875 0.750 0.907
Cu 0.875 0.750 0.982
Cu 0.876 0.750 0.832
Sn 0.375 0.750 0.294
Sn 0.625 0.250 0.706



Record 18
Density functional theory data (PBE-GGA) for LiAcPd after structural relaxation.

Computed properties:
The calculated total energy comes out at -4.11 eV/atom.

Lattice parameters (Å, degrees): 7.003 7.003 7.003 90.00 90.00 90.00
Atoms (fractional coordinates):
Li 0.000 0.000 0.000
Li 0.000 0.500 0.500
Li 0.500 0.000 0.500
Li 0.500 0.500 0.000
Ac 0.000 0.000 0.500
Ac 0.000 0.500 0.000
Ac 0.500 0.000 0.000
Ac 0.500 0.500 0.500
Pd 0.250 0.250 0.750
Pd 0.250 0.750 0.250
Pd 0.750 0.250 0.250
Pd 0.750 0.750 0.750



Record 19
Density functional theory data (PBE-GGA) for Hf3Si2Ni4Ge2 after structural relaxation.

Computed properties:
The calculated total energy comes out at -7.31 eV/atom.

Lattice parameters (Å, degrees): 7.427 7.427 7.427 149.62 128.68 60.82
Atoms (fractional coordinates):
Hf 0.000 0.000 0.000
Hf 0.375 0.875 0.500
Hf 0.625 0.125 0.500
Si 0.307 0.500 0.807
Si 0.693 0.500 0.193
Ni 0.029 0.329 0.700
Ni 0.370 0.671 0.700
Ni 0.630 0.329 0.300
Ni 0.971 0.671 0.300
Ge 0.215 0.215 0.000
Ge 0.785 0.785 0.000



Record 20
Density functional theory data (PBE-GGA) for NaDyPa after structural relaxation.

Computed properties:
The calculated total energy comes out at -3.71 eV/atom.

Lattice parameters (Å, degrees): 7.348 7.348 7.348 90.00 90.00 90.00
Atoms (fractional coordinates):
Na 0.000 0.000 0.000
Na 0.000 0.500 0.500
Na 0.500 0.000 0.500
Na 0.500 0.500 0.000
Dy 0.250 0.250 0.750
Dy 0.250 0.750 0.250
Dy 0.750 0.250 0.250
Dy 0.750 0.750 0.750
Pa 0.250 0.250 0.250
Pa 0.250 0.750 0.750
Pa 0.750 0.250 0.750
Pa 0.750 0.750 0.250